This record from Alexandria via LeMat-Bulk describes a relaxed SiTc crystal. The functional is PBE-GGA.

a = 3.121 Å, b = 3.121 Å, c = 5.528 Å
α = 90.00°, β = 90.00°, γ = 90.00°
Space group P4/nmm (No. 129, origin choice 2)
Unique sites:
Si  0.250  0.250  0.129 (multiplicity 2)
Tc  0.250  0.250  0.667 (multiplicity 2)

## Properties
The total moment comes out at 0.00 Bohr magnetons per cell. The calculation puts the total energy at -33.47 eV/cell. The value obtained for the formation energy (no corrections) is -0.473 eV per atom.



This record from Alexandria via LeMat-Bulk describes a relaxed SiTc5 crystal. The functional is PBE-GGA.

a = 4.366 Å, b = 2.824 Å, c = 13.857 Å
α = 90.00°, β = 90.00°, γ = 90.00°
Space group Amm2 (No. 38)
Unique sites:
Si  0.000  0.000  0.000 (multiplicity 2)
Tc  0.000  0.000  0.328 (multiplicity 2)
Tc  0.000  0.000  0.658 (multiplicity 2)
Tc  0.500  0.000  0.218 (multiplicity 2)
Tc  0.500  0.000  0.549 (multiplicity 2)
Tc  0.500  0.000  0.887 (multiplicity 2)

## Properties
The total moment comes out at 0.00 Bohr magnetons per cell. The calculation puts the total energy at -115.77 eV/cell. The value obtained for the formation energy (no corrections) is -0.105 eV per atom.



This record from Alexandria via LeMat-Bulk describes a relaxed SiTc crystal. The functional is PBE-GGA.

a = 4.933 Å, b = 4.933 Å, c = 4.933 Å
α = 90.00°, β = 90.00°, γ = 90.00°
Space group Fm-3m (No. 225)
Unique sites:
Si  0.000  0.000  0.000 (multiplicity 4)
Tc  0.000  0.000  0.500 (multiplicity 4)

## Properties
The total moment comes out at 2.58 Bohr magnetons per cell. The calculation puts the total energy at -61.60 eV/cell. The value obtained for the formation energy (no corrections) is 0.194 eV per atom.



This record from Alexandria via LeMat-Bulk describes a relaxed Si5Tc crystal. The functional is PBE-GGA.

a = 4.414 Å, b = 3.114 Å, c = 12.346 Å
α = 90.00°, β = 90.00°, γ = 90.00°
Space group Amm2 (No. 38)
Unique sites:
Si  0.000  0.000  0.000 (multiplicity 2)
Si  0.000  0.000  0.319 (multiplicity 2)
Si  0.000  0.000  0.658 (multiplicity 2)
Si  0.500  0.000  0.221 (multiplicity 2)
Si  0.500  0.000  0.896 (multiplicity 2)
Tc  0.500  0.000  0.561 (multiplicity 2)

## Properties
The total moment comes out at 0.00 Bohr magnetons per cell. The calculation puts the total energy at -73.10 eV/cell. The value obtained for the formation energy (no corrections) is 0.155 eV per atom.



This record from Alexandria via LeMat-Bulk describes a relaxed SiTc2 crystal. The functional is PBE-GGA.

a = 4.3883 Å, b = 4.3883 Å, c = 5.0020 Å
α = 90.00°, β = 90.00°, γ = 120.00°
Space group P6_3/mmc (No. 194)
Unique sites:
Si  0.3333  0.6667  0.2500 (multiplicity 2)
Tc  0.0000  0.0000  0.0000 (multiplicity 2)
Tc  0.3333  0.6667  0.7500 (multiplicity 2)

## Properties
The total moment comes out at 0.00 Bohr magnetons per cell. The calculation puts the total energy at -52.79 eV/cell. The value obtained for the formation energy (no corrections) is -0.079 eV per atom.



This record from Alexandria via LeMat-Bulk describes a relaxed Si4Tc crystal. The functional is PBE-GGA.

a = 5.547 Å, b = 5.547 Å, c = 5.547 Å
α = 90.00°, β = 90.00°, γ = 90.00°
Space group Im-3m (No. 229)
Unique sites:
Si  0.250  0.250  0.250 (multiplicity 8)
Tc  0.000  0.000  0.000 (multiplicity 2)

## Properties
The total moment comes out at 0.00 Bohr magnetons per cell. The calculation puts the total energy at -61.16 eV/cell. The value obtained for the formation energy (no corrections) is 0.296 eV per atom.



Taking the records one at a time from the top gives excess energy over the best structure of this formula in the dataset values of 48, 51, 715, 0, 331, 0 meV per atom.